Record 1
# Nd6Ge2PI3 GGA-PBE relaxed
# ΔE_f (raw): -1.143 eV per atom
# M_tot: 0.00 μB per formula unit
# N(E_F): 10.33 states/eV per cell
# Total energy: -5.135 eV/atom
data_Nd6Ge2PI3
_chemical_formula_sum 'Nd12 Ge4 P2 I6'
_space_group_name_H-M_alt 'C 1 2/m 1'
_space_group_IT_number 12
_cell_length_a 7.462
_cell_length_b 12.920
_cell_length_c 8.114
_cell_angle_alpha 90.00
_cell_angle_beta 107.84
_cell_angle_gamma 90.00
loop_
_space_group_symop_operation_xyz
'x,y,z'
'-x,-y,-z'
'-x,y,-z'
'x,-y,z'
'x+1/2,y+1/2,z'
'-x+1/2,-y+1/2,-z'
'-x+1/2,y+1/2,-z'
'x+1/2,-y+1/2,z'
loop_
_atom_site_label
_atom_site_fract_x
_atom_site_fract_y
_atom_site_fract_z
_atom_site_occupancy
Nd1 0.229 0.164 0.195 1
Nd2 0.238 0.500 0.196 1
Ge1 0.000 0.334 0.000 1
P1 0.000 0.000 0.000 1
I1 0.000 0.169 0.500 1
I2 0.000 0.500 0.500 1



Record 2
# Nd8GeP3I4 GGA-PBE relaxed
# ΔE_f (raw): -1.284 eV per atom
# M_tot: 0.00 μB per formula unit
# N(E_F): 21.83 states/eV per cell
# Total energy: -5.359 eV/atom
data_Nd8GeP3I4
_chemical_formula_sum 'Nd24 Ge3 P9 I12'
_space_group_name_H-M_alt 'R -3 m'
_space_group_IT_number 166
_space_group_name_Hall '-R 3 2"'
_cell_length_a 8.5227
_cell_length_b 8.5227
_cell_length_c 23.1129
_cell_angle_alpha 90.00
_cell_angle_beta 90.00
_cell_angle_gamma 120.00
loop_
_atom_site_label
_atom_site_fract_x
_atom_site_fract_y
_atom_site_fract_z
_atom_site_occupancy
Nd1 0.0000 0.0000 0.2292 1
Nd2 0.0073 0.5037 0.7697 1
Ge1 0.0000 0.0000 0.5000 1
P1 0.0000 0.5000 0.5000 1
I1 0.0000 0.0000 0.0000 1
I2 0.0000 0.5000 0.0000 1



Record 3
# Nd4GePI2 GGA-PBE relaxed
# ΔE_f (raw): -1.201 eV per atom
# M_tot: 0.00 μB per formula unit
# N(E_F): 2.99 states/eV per cell
# Total energy: -5.225 eV/atom
data_Nd4GePI2
_chemical_formula_sum 'Nd4 Ge1 P1 I2'
_space_group_name_H-M_alt 'P 1 2/m 1'
_space_group_IT_number 10
_cell_length_a 7.421
_cell_length_b 4.287
_cell_length_c 8.116
_cell_angle_alpha 90.00
_cell_angle_beta 107.77
_cell_angle_gamma 90.00
loop_
_space_group_symop_operation_xyz
'x,y,z'
'-x,-y,-z'
'-x,y,-z'
'x,-y,z'
loop_
_atom_site_label
_atom_site_fract_x
_atom_site_fract_y
_atom_site_fract_z
_atom_site_occupancy
Nd1 0.224 0.000 0.191 1
Nd2 0.261 0.500 0.805 1
Ge1 0.500 0.000 0.000 1
P1 0.000 0.500 0.000 1
I1 0.000 0.000 0.500 1
I2 0.500 0.500 0.500 1



Record 4
# Nd8Ge3PI4 GGA-PBE relaxed
# ΔE_f (raw): -1.114 eV per atom
# M_tot: 0.00 μB per formula unit
# N(E_F): 18.70 states/eV per cell
# Total energy: -5.089 eV/atom
data_Nd8Ge3PI4
_chemical_formula_sum 'Nd24 Ge9 P3 I12'
_space_group_name_H-M_alt 'R -3 m'
_space_group_IT_number 166
_space_group_name_Hall '-R 3 2"'
_cell_length_a 8.6380
_cell_length_b 8.6380
_cell_length_c 23.1813
_cell_angle_alpha 90.00
_cell_angle_beta 90.00
_cell_angle_gamma 120.00
loop_
_atom_site_label
_atom_site_fract_x
_atom_site_fract_y
_atom_site_fract_z
_atom_site_occupancy
Nd1 0.0000 0.0000 0.2331 1
Nd2 0.0061 0.5030 0.2317 1
Ge1 0.0000 0.5000 0.5000 1
P1 0.0000 0.0000 0.5000 1
I1 0.0000 0.0000 0.0000 1
I2 0.0000 0.5000 0.0000 1



Record 5
# Nd6Ge2PbI3 GGA-PBE relaxed
# ΔE_f (raw): -0.939 eV per atom
# M_tot: 0.00 μB per formula unit
# N(E_F): 10.43 states/eV per cell
# Total energy: -4.789 eV/atom
data_Nd6Ge2PbI3
_chemical_formula_sum 'Nd12 Ge4 Pb2 I6'
_space_group_name_H-M_alt 'C 1 2/m 1'
_space_group_IT_number 12
_cell_length_a 19.984
_cell_length_b 4.435
_cell_length_c 9.228
_cell_angle_alpha 90.00
_cell_angle_beta 105.66
_cell_angle_gamma 90.00
loop_
_space_group_symop_operation_xyz
'x,y,z'
'-x,-y,-z'
'-x,y,-z'
'x,-y,z'
'x+1/2,y+1/2,z'
'-x+1/2,-y+1/2,-z'
'-x+1/2,y+1/2,-z'
'x+1/2,-y+1/2,z'
loop_
_atom_site_label
_atom_site_fract_x
_atom_site_fract_y
_atom_site_fract_z
_atom_site_occupancy
Nd1 0.017 0.000 0.246 1
Nd2 0.165 0.500 0.129 1
Nd3 0.179 0.500 0.561 1
Ge1 0.168 0.000 0.340 1
Pb1 0.000 0.500 0.000 1
I1 0.000 0.500 0.500 1
I2 0.164 0.000 0.835 1



Record 6
# Nd8Ge3PdI4 GGA-PBE relaxed
# ΔE_f (raw): -0.957 eV per atom
# M_tot: 0.00 μB per formula unit
# N(E_F): 32.88 states/eV per cell
# Total energy: -4.919 eV/atom
data_Nd8Ge3PdI4
_chemical_formula_sum 'Nd24 Ge9 Pd3 I12'
_space_group_name_H-M_alt 'R -3 m'
_space_group_IT_number 166
_space_group_name_Hall '-R 3 2"'
_cell_length_a 8.7288
_cell_length_b 8.7288
_cell_length_c 22.9186
_cell_angle_alpha 90.00
_cell_angle_beta 90.00
_cell_angle_gamma 120.00
loop_
_atom_site_label
_atom_site_fract_x
_atom_site_fract_y
_atom_site_fract_z
_atom_site_occupancy
Nd1 0.0000 0.0000 0.2339 1
Nd2 0.0026 0.5013 0.2332 1
Ge1 0.0000 0.5000 0.5000 1
Pd1 0.0000 0.0000 0.5000 1
I1 0.0000 0.0000 0.0000 1
I2 0.0000 0.5000 0.0000 1



Record 7
# PmNdGeI GGA-PBE relaxed
# ΔE_f (raw): -1.005 eV per atom
# M_tot: 0.00 μB per formula unit
# N(E_F): 8.01 states/eV per cell
# Total energy: -4.926 eV/atom
data_PmNdGeI
_chemical_formula_sum 'Pm3 Nd3 Ge3 I3'
_space_group_name_H-M_alt 'R 3 m'
_space_group_IT_number 160
_space_group_name_Hall 'R 3 -2"'
_cell_length_a 4.2992
_cell_length_b 4.2992
_cell_length_c 23.5235
_cell_angle_alpha 90.00
_cell_angle_beta 90.00
_cell_angle_gamma 120.00
loop_
_atom_site_label
_atom_site_fract_x
_atom_site_fract_y
_atom_site_fract_z
_atom_site_occupancy
Pm1 0.0000 0.0000 0.0000 1
Nd1 0.0000 0.0000 0.7991 1
Ge1 0.0000 0.0000 0.4002 1
I1 0.0000 0.0000 0.2322 1



Record 8
# PrNdGeI GGA-PBE relaxed
# ΔE_f (raw): -1.016 eV per atom
# M_tot: 0.00 μB per formula unit
# N(E_F): 8.30 states/eV per cell
# Total energy: -4.945 eV/atom
data_PrNdGeI
_chemical_formula_sum 'Pr3 Nd3 Ge3 I3'
_space_group_name_H-M_alt 'R 3 m'
_space_group_IT_number 160
_space_group_name_Hall 'R 3 -2"'
_cell_length_a 4.3285
_cell_length_b 4.3285
_cell_length_c 23.7002
_cell_angle_alpha 90.00
_cell_angle_beta 90.00
_cell_angle_gamma 120.00
loop_
_atom_site_label
_atom_site_fract_x
_atom_site_fract_y
_atom_site_fract_z
_atom_site_occupancy
Pr1 0.0000 0.0000 0.0000 1
Nd1 0.0000 0.0000 0.7996 1
Ge1 0.0000 0.0000 0.4017 1
I1 0.0000 0.0000 0.2311 1



Q: Look up the N(E_F) of the second one.
A: 21.83 states/eV per cell



Q: What is the total energy in the seventh record?
A: -4.926 eV/atom



Q: Which value of N(E_F) does entry 7 give?
A: 8.01 states/eV per cell



Q: Which formula does entry 2 have?
A: Nd8GeP3I4